A relaxed structure of Y2In2Pt. Source: OQMD, functional PBE.

Structure (POSCAR):
```
Y2In2Pt
1.0
-2.208 2.208 6.604
2.208 -2.208 6.604
2.208 2.208 -6.604
In Pt Y
2 1 2
Direct
0.595 0.595 0.000
0.405 0.405 0.000
0.000 0.000 0.000
0.750 0.250 0.500
0.250 0.750 0.500
```

Total energy: -22.86 eV/f.u.

***

A relaxed structure of Y2InPt. Source: OQMD, functional PBE.

Structure (POSCAR):
```
Y2InPt
1.0
-4.889 -1.147 -0.167
-3.007 1.257 3.824
-3.416 3.639 -0.581
Y In Pt
2 1 1
Direct
0.750 0.750 0.750
0.000 0.000 0.000
0.500 0.500 0.500
0.250 0.250 0.250
```

Total energy: -23.55 eV/f.u.

***

A relaxed structure of ZnIn2Pt. Source: OQMD, functional PBE.

Structure (POSCAR):
```
ZnIn2Pt
1.0
0.000 3.405 3.405
3.405 0.000 3.405
3.405 3.405 0.000
Pt Zn In
1 1 2
Direct
0.750 0.750 0.750
0.500 0.500 0.500
0.250 0.250 0.250
0.000 0.000 0.000
```

Total energy: -12.80 eV/f.u.

***

A relaxed structure of Zr2In2Pt. Source: OQMD, functional PBE.

Structure (POSCAR):
```
Zr2In2Pt
1.0
-1.951 1.951 7.338
1.951 -1.951 7.338
1.951 1.951 -7.338
In Zr Pt
2 2 1
Direct
0.250 0.750 0.500
0.750 0.250 0.500
0.587 0.587 0.000
0.413 0.413 0.000
0.000 0.000 0.000
```

Total energy: -28.13 eV/f.u.

***

A relaxed structure of ZrInPt2. Source: OQMD, functional PBE.

Structure (POSCAR):
```
ZrInPt2
1.0
0.000 3.312 3.312
3.312 0.000 3.312
3.312 3.312 0.000
Pt Zr In
2 1 1
Direct
0.000 0.000 0.000
0.750 0.750 0.750
0.250 0.250 0.250
0.500 0.500 0.500
```

Total energy: -25.60 eV/f.u.

***

A relaxed structure of PuIn3. Source: OQMD, functional PBE.

Structure (POSCAR):
```
PuIn3
1.0
4.656 0.000 0.000
0.000 4.656 0.000
0.000 0.000 4.657
In Pu
3 1
Direct
0.000 0.000 0.584
0.000 0.500 0.083
0.500 0.000 0.083
0.500 0.500 0.583
```

Total energy: -23.43 eV/f.u.

***

A relaxed structure of PuInRe. Source: OQMD, functional PBE.

Structure (POSCAR):
```
PuInRe
1.0
-4.599 -0.218 -0.520
-2.643 3.604 1.222
-2.087 2.551 -3.256
Pu In Re
1 1 1
Direct
0.750 0.750 0.750
0.000 0.000 0.000
0.500 0.500 0.500
```

Total energy: -25.84 eV/f.u.
Excess energy over the best structure of this formula in the dataset: 732.4 meV per atom

***

A relaxed structure of PuInRe. Source: OQMD, functional PBE.

Structure (POSCAR):
```
PuInRe
1.0
2.320 -0.188 4.022
-1.747 -2.392 3.580
2.007 -3.971 1.342
Re In Pu
1 1 1
Direct
0.000 0.000 0.000
0.750 0.750 0.750
0.250 0.250 0.250
```

Total energy: -28.04 eV/f.u.
Excess energy over the best structure of this formula in the dataset: 0.0 meV per atom

***

A relaxed structure of PuInSb. Source: OQMD, functional PBE.

Structure (POSCAR):
```
PuInSb
1.0
-1.936 -1.280 4.499
-2.174 3.522 2.915
-5.016 -0.024 0.683
Pu Sb In
1 1 1
Direct
0.250 0.250 0.250
0.750 0.750 0.750
0.000 0.000 0.000
```

Total energy: -21.06 eV/f.u.
Excess energy over the best structure of this formula in the dataset: 149.3 meV per atom

***

A relaxed structure of PuInSb. Source: OQMD, functional PBE.

Structure (POSCAR):
```
PuInSb
1.0
3.858 -2.070 2.736
3.247 3.055 2.603
-0.142 0.117 5.159
In Pu Sb
1 1 1
Direct
0.250 0.250 0.250
0.000 0.000 0.000
0.750 0.750 0.750
```

Total energy: -21.51 eV/f.u.
Excess energy over the best structure of this formula in the dataset: 0.0 meV per atom

***

A relaxed structure of PuScIn. Source: OQMD, functional PBE.

Structure (POSCAR):
```
PuScIn
1.0
-1.365 -3.442 3.421
-1.158 1.432 4.692
-4.778 -0.213 1.593
Sc Pu In
1 1 1
Direct
0.750 0.750 0.750
0.250 0.250 0.250
0.000 0.000 0.000
```

Total energy: -22.69 eV/f.u.
Excess energy over the best structure of this formula in the dataset: 0.0 meV per atom

***

A relaxed structure of Pu2In3Sn3. Source: OQMD, functional PBE.

Structure (POSCAR):
```
Pu2In3Sn3
1.0
4.643 0.000 0.000
0.000 4.781 0.000
0.000 0.000 9.139
Sn Pu In
3 2 3
Direct
0.500 0.000 0.500
0.500 0.000 0.000
0.000 0.500 0.500
0.000 0.000 0.746
0.000 0.000 0.254
0.000 0.500 0.000
0.500 0.500 0.248
0.500 0.500 0.752
```

Total energy: -51.42 eV/f.u.